Material: CeErI2
Method: DFT, GGA-PBE
State: relaxed

Output
- ΔE_f (raw) (eV per atom) = -0.64
- space group = R-3m (166)
- VASP energy (eV per cell) = -16.16

a b c (Å): 3.886 3.886 10.965
angles (deg): 79.79 79.79 60.00
Element x y z (fractional)
I (0.905, 0.905, 0.285)
Ce (0.500, 0.500, 0.500)
I (0.095, 0.095, 0.715)
Er (0.000, 0.000, 0.000)

***

Material: HoSi2NiRh
Method: DFT, GGA-PBE
State: relaxed

Output
- ΔE_f (raw) (eV per atom) = -0.95
- space group = I-4m2 (119)
- VASP energy (eV per cell) = -33.31

a b c (Å): 3.978 3.978 5.701
angles (deg): 110.42 110.42 90.00
Element x y z (fractional)
Si (0.620, 0.620, 0.240)
Ho (0.000, 0.000, 0.000)
Rh (0.750, 0.250, 0.500)
Si (0.380, 0.380, 0.760)
Ni (0.250, 0.750, 0.500)

***

Material: SrCaPm2In4
Method: DFT, GGA-PBE
State: relaxed

Output
- space group = R-3m (166)
- VASP energy (eV per cell) = -27.61
- energy of formation from the pure elements (eV/f.u.) = -3.47

a b c (Å): 5.514 5.514 9.565
angles (deg): 73.25 73.25 60.00
Element x y z (fractional)
In (0.376, 0.376, 0.871)
Sr (0.000, 0.000, 0.000)
Pm (0.249, 0.249, 0.254)
In (0.126, 0.126, 0.621)
Pm (0.751, 0.751, 0.746)
In (0.874, 0.874, 0.379)
Ca (0.500, 0.500, 0.500)
In (0.624, 0.624, 0.129)

***

Material: Mg2CoIr
Method: DFT, GGA-PBE
State: relaxed

Output
- space group = P2/m (10)
- VASP energy (eV per cell) = -19.25
- energy of formation from the pure elements (eV/f.u.) = -0.10

a b c (Å): 3.828 2.891 6.170
angles (deg): 62.18 90.00 90.00
Element x y z (fractional)
Mg (0.000, 0.004, 0.998)
Co (0.500, 0.250, 0.250)
Ir (0.500, 0.750, 0.750)
Mg (0.000, 0.496, 0.502)

***

Material: PbSCl2F
Method: DFT, GGA-PBE
State: relaxed

Output
- ΔE_f (raw) (eV per atom) = -0.03
- space group = P4/mmm (123)
- VASP energy (eV per cell) = -13.55

a b c (Å): 5.264 5.264 5.682
angles (deg): 90.00 90.00 90.00
Element x y z (fractional)
Pb (0.000, 0.000, 0.000)
Cl (0.000, 0.500, 0.000)
F (0.500, 0.500, 0.500)
S (0.000, 0.000, 0.500)
Cl (0.500, 0.000, 0.000)

***

Material: Ac3GaHg2
Method: DFT, GGA-PBE
State: relaxed

Output
- space group = P4/mmm (123)
- VASP energy (eV per cell) = -18.75
- energy of formation from the pure elements (eV/f.u.) = -2.79

a b c (Å): 3.992 3.992 12.076
angles (deg): 90.00 90.00 90.00
Element x y z (fractional)
Ac (0.000, 0.000, 0.344)
Ac (0.000, 0.000, 0.000)
Hg (0.500, 0.500, 0.830)
Ga (0.500, 0.500, 0.500)
Ac (0.000, 0.000, 0.656)
Hg (0.500, 0.500, 0.170)

***

Material: NaS2Cl8
Method: DFT, GGA-PBE
State: relaxed

Output
- ΔE_f (raw) (eV per atom) = -0.28
- space group = C2/m (12)
- VASP energy (eV per cell) = -27.46

a b c (Å): 6.963 8.444 8.444
angles (deg): 54.27 74.71 74.71
Element x y z (fractional)
Cl (0.209, 0.305, 0.847)
Cl (0.643, 0.187, 0.187)
Cl (0.172, 0.268, 0.268)
Cl (0.791, 0.153, 0.695)
S (0.631, 0.858, 0.858)
Cl (0.791, 0.695, 0.153)
Cl (0.357, 0.813, 0.813)
Cl (0.828, 0.732, 0.732)
S (0.369, 0.142, 0.142)
Cl (0.209, 0.847, 0.305)
Na (0.000, 0.000, 0.000)

***

Material: LaTb2Pt
Method: DFT, GGA-PBE
State: relaxed

Output
- space group = R-3m (166)
- VASP energy (eV per cell) = -22.29
- energy of formation from the pure elements (eV/f.u.) = -2.06

a b c (Å): 3.941 3.941 9.739
angles (deg): 78.33 78.33 60.00
Element x y z (fractional)
Tb (0.275, 0.275, 0.175)
La (0.500, 0.500, 0.500)
Tb (0.725, 0.725, 0.825)
Pt (0.000, 0.000, 0.000)

***

Material: HfB2W
Method: DFT, GGA-PBE
State: relaxed

Output
- space group = I-42d (122)
- VASP energy (eV per cell) = -72.30
- energy of formation from the pure elements (eV/f.u.) = 0.11

a b c (Å): 6.091 6.091 5.134
angles (deg): 53.62 53.62 90.00
Element x y z (fractional)
B (0.102, 0.625, 0.250)
W (0.000, 0.000, 0.000)
B (0.875, 0.898, 0.750)
B (0.648, 0.125, 0.250)
Hf (0.500, 0.500, 0.000)
B (0.375, 0.352, 0.750)
W (0.750, 0.250, 0.500)
Hf (0.250, 0.750, 0.500)

***

Material: SnTeO3
Method: DFT, GGA-PBE
State: relaxed

Output
- ΔE_f (raw) (eV per atom) = -0.62
- space group = Pm-3m (221)
- VASP energy (eV per cell) = -25.13

a b c (Å): 4.087 4.087 4.087
angles (deg): 90.00 90.00 90.00
Element x y z (fractional)
Sn (0.000, 0.000, 0.000)
O (0.000, 0.000, 0.500)
O (0.000, 0.500, 0.000)
O (0.500, 0.000, 0.000)
Te (0.500, 0.500, 0.500)

***

Material: YThSiAg
Method: DFT, GGA-PBE
State: relaxed

Output
- ΔE_f (raw) (eV per atom) = -0.32
- space group = F-43m (216)
- VASP energy (eV per cell) = -23.46

a b c (Å): 5.142 5.142 5.142
angles (deg): 60.00 60.00 60.00
Element x y z (fractional)
Y (0.750, 0.750, 0.750)
Ag (0.000, 0.000, 0.000)
Th (0.250, 0.250, 0.250)
Si (0.500, 0.500, 0.500)

***

Material: LaVRu2S
Method: DFT, GGA-PBE
State: relaxed

Output
- ΔE_f (raw) (eV per atom) = 0.50
- space group = P4/mmm (123)
- VASP energy (eV per cell) = -34.24

a b c (Å): 4.359 5.267 4.359
angles (deg): 90.00 90.00 90.00
Element x y z (fractional)
V (0.500, 0.500, 0.500)
Ru (0.000, 0.000, 0.500)
La (0.000, 0.500, 0.000)
S (0.000, 0.000, 0.000)
Ru (0.500, 0.000, 0.000)

***

Material: Th3IrSe2
Method: DFT, GGA-PBE
State: relaxed

Output
- ΔE_f (raw) (eV per atom) = -1.40
- space group = C2/m (12)
- VASP energy (eV per cell) = -92.94

a b c (Å): 7.313 7.313 7.429
angles (deg): 99.56 99.56 119.61
Element x y z (fractional)
Ir (0.001, 0.999, 0.000)
Se (0.177, 0.823, 0.500)
Se (0.833, 0.167, 0.500)
Th (0.055, 0.389, 0.226)
Th (0.765, 0.743, 0.230)
Th (0.257, 0.235, 0.770)
Th (0.410, 0.098, 0.230)
Ir (0.666, 0.334, 0.000)
Se (0.333, 0.667, 0.000)
Th (0.902, 0.590, 0.770)
Th (0.611, 0.945, 0.774)
Se (0.490, 0.510, 0.500)

***

Material: Th5Sb3
Method: DFT, GGA-PBE
State: relaxed

Output
- ΔE_f (raw) (eV per atom) = -0.68
- space group = P6_3/mcm (193)
- VASP energy (eV per cell) = -109.75

a b c (Å): 6.435 9.376 9.376
angles (deg): 120.00 90.00 90.00
Element x y z (fractional)
Th (0.750, 0.258, 0.000)
Sb (0.250, 0.000, 0.385)
Th (0.500, 0.333, 0.667)
Sb (0.250, 0.385, 0.000)
Th (0.250, 0.258, 0.258)
Th (0.750, 0.000, 0.258)
Th (0.000, 0.333, 0.667)
Th (0.000, 0.667, 0.333)
Sb (0.750, 0.385, 0.385)
Th (0.500, 0.667, 0.333)
Th (0.250, 0.742, 0.000)
Th (0.750, 0.742, 0.742)
Sb (0.250, 0.615, 0.615)
Sb (0.750, 0.615, 0.000)
Th (0.250, 0.000, 0.742)
Sb (0.750, 0.000, 0.615)

***

Material: TaTcRh2
Method: DFT, GGA-PBE
State: relaxed

Output
- space group = Fm-3m (225)
- VASP energy (eV per cell) = -36.73
- energy of formation from the pure elements (eV/f.u.) = 0.20

a b c (Å): 4.455 4.455 4.455
angles (deg): 60.00 60.00 60.00
Element x y z (fractional)
Rh (0.750, 0.750, 0.750)
Tc (0.000, 0.000, 0.000)
Rh (0.250, 0.250, 0.250)
Ta (0.500, 0.500, 0.500)

***

Material: Sc2ReAg
Method: DFT, GGA-PBE
State: relaxed

Output
- space group = P4/mmm (123)
- VASP energy (eV per cell) = -28.29
- energy of formation from the pure elements (eV/f.u.) = -0.33

a b c (Å): 4.722 4.722 3.288
angles (deg): 90.00 90.00 90.01
Element x y z (fractional)
Re (0.000, 0.500, 0.500)
Sc (0.000, 0.000, 0.000)
Ag (0.500, 0.000, 0.500)
Sc (0.500, 0.500, 0.000)

***

Material: HoGaFe4
Method: DFT, GGA-PBE
State: relaxed

Output
- space group = F-43m (216)
- VASP energy (eV per cell) = -42.11
- energy of formation from the pure elements (eV/f.u.) = -0.65

a b c (Å): 4.946 4.946 4.946
angles (deg): 60.00 60.00 60.00
Element x y z (fractional)
Fe (0.624, 0.624, 0.624)
Ho (0.000, 0.000, 0.000)
Ga (0.250, 0.250, 0.250)
Fe (0.624, 0.624, 0.128)
Fe (0.624, 0.128, 0.624)
Fe (0.128, 0.624, 0.624)

***

Material: Ba2MgH
Method: DFT, GGA-PBE
State: relaxed

Output
- space group = R3m (160)
- VASP energy (eV per cell) = -8.94

a b c (Å): 4.229 4.229 9.406
angles (deg): 77.01 77.01 60.00
Element x y z (fractional)
Mg (0.500, 0.500, 0.501)
Ba (0.062, 0.062, 0.814)
H (0.667, 0.667, 0.000)
Ba (0.272, 0.272, 0.185)

***

Material: HfGaCo
Method: DFT, GGA-PBE
State: relaxed

Output
- space group = F-43m (216)
- VASP energy (eV per cell) = -20.94
- energy of formation from the pure elements (eV/f.u.) = -0.86

a b c (Å): 4.177 4.177 4.177
angles (deg): 60.00 60.00 60.00
Element x y z (fractional)
Ga (0.500, 0.500, 0.500)
Co (0.250, 0.250, 0.250)
Hf (0.000, 0.000, 0.000)

***

Material: Zr6ReTc
Method: DFT, GGA-PBE
State: relaxed

Output
- space group = C2/m (12)
- VASP energy (eV per cell) = -75.27
- energy of formation from the pure elements (eV/f.u.) = -1.17

a b c (Å): 4.705 4.705 8.149
angles (deg): 73.22 73.32 90.00
Element x y z (fractional)
Zr (0.893, 0.393, 0.214)
Zr (0.608, 0.107, 0.786)
Zr (0.107, 0.607, 0.786)
Zr (0.748, 0.748, 0.503)
Re (0.500, 0.500, 0.000)
Zr (0.252, 0.252, 0.497)
Zr (0.392, 0.893, 0.214)
Tc (0.000, 0.000, 0.000)

***

Material: Th4TlHg
Method: DFT, GGA-PBE
State: relaxed

Output
- space group = Cmc2_1 (36)
- VASP energy (eV per cell) = -62.67
- energy of formation from the pure elements (eV/f.u.) = 1.01

a b c (Å): 5.664 6.630 11.191
angles (deg): 90.00 104.66 90.00
Element x y z (fractional)
Tl (0.150, 0.310, 0.299)
Th (0.434, 0.837, 0.868)
Th (0.712, 0.066, 0.423)
Th (0.289, 0.067, 0.578)
Th (0.873, 0.307, 0.747)
Th (0.711, 0.567, 0.422)
Tl (0.850, 0.810, 0.701)
Th (0.127, 0.807, 0.253)
Hg (0.427, 0.346, 0.854)
Th (0.566, 0.337, 0.132)
Hg (0.573, 0.846, 0.146)
Th (0.288, 0.566, 0.577)

***

Material: Cd2TcCl
Method: DFT, GGA-PBE
State: relaxed

Output
- ΔE_f (raw) (eV per atom) = 0.73
- space group = Fm-3m (225)
- VASP energy (eV per cell) = -11.13

a b c (Å): 4.930 4.930 4.930
angles (deg): 60.00 60.00 60.00
Element x y z (fractional)
Cl (0.000, 0.000, 0.000)
Cd (0.250, 0.250, 0.250)
Tc (0.500, 0.500, 0.500)
Cd (0.750, 0.750, 0.750)

***

Material: MgAgF4
Method: DFT, GGA-PBE
State: relaxed

Output
- ΔE_f (raw) (eV per atom) = -2.30
- space group = P2_1/c (14)
- VASP energy (eV per cell) = -51.41

a b c (Å): 4.990 5.724 5.779
angles (deg): 107.56 90.00 90.00
Element x y z (fractional)
F (0.671, 0.638, 0.345)
F (0.762, 0.707, 0.884)
F (0.738, 0.207, 0.884)
F (0.262, 0.793, 0.116)
F (0.829, 0.138, 0.345)
Ag (0.000, 0.500, 0.500)
Mg (0.500, 0.500, 0.000)
F (0.238, 0.293, 0.116)
F (0.329, 0.362, 0.655)
Ag (0.500, 0.000, 0.500)
F (0.171, 0.862, 0.655)
Mg (0.000, 0.000, 0.000)

***

Material: La2TlInCo
Method: DFT, GGA-PBE
State: relaxed

Output
- space group = P4/mmm (123)
- VASP energy (eV per cell) = -23.57
- energy of formation from the pure elements (eV/f.u.) = -1.51

a b c (Å): 5.245 5.245 5.082
angles (deg): 90.00 90.00 90.00
Element x y z (fractional)
In (0.500, 0.500, 0.500)
Co (0.000, 0.000, 0.000)
La (0.500, 0.000, 0.000)
Tl (0.000, 0.000, 0.500)
La (0.000, 0.500, 0.000)

***

Material: Mg2Nb2Ir3
Method: DFT, GGA-PBE
State: relaxed

Output
- space group = C2/m (12)
- VASP energy (eV per cell) = -52.79
- energy of formation from the pure elements (eV/f.u.) = -2.88

a b c (Å): 4.477 4.490 7.686
angles (deg): 89.99 106.94 120.12
Element x y z (fractional)
Mg (0.266, 0.133, 0.397)
Nb (0.768, 0.384, 0.152)
Ir (0.000, 0.000, 0.000)
Mg (0.734, 0.867, 0.603)
Ir (0.478, 0.738, 0.215)
Nb (0.232, 0.616, 0.848)
Ir (0.522, 0.262, 0.785)

***

Material: MnRe2Hg
Method: DFT, GGA-PBE
State: relaxed

Output
- space group = P4mm (99)
- VASP energy (eV per cell) = -32.97
- energy of formation from the pure elements (eV/f.u.) = 1.40

a b c (Å): 2.972 2.972 7.477
angles (deg): 90.00 90.00 90.00
Element x y z (fractional)
Re (0.500, 0.500, 0.212)
Hg (0.000, 0.000, 0.506)
Mn (0.500, 0.500, 0.773)
Re (0.000, 0.000, 0.009)

***

Material: PrLuMg
Method: DFT, GGA-PBE
State: relaxed

Output
- space group = P3m1 (156)
- VASP energy (eV per cell) = -10.73
- energy of formation from the pure elements (eV/f.u.) = 0.16

a b c (Å): 3.437 5.478 5.478
angles (deg): 120.00 90.00 90.00
Element x y z (fractional)
Mg (0.297, 0.333, 0.667)
Lu (0.070, 0.000, 0.000)
Pr (0.634, 0.667, 0.333)